HfNi2O | GGA+U | optimized geometry

Lattice parameters (Å, degrees): 5.587 5.587 7.952 90.00 90.00 90.00
Space group I-42d (No. 122)
Inequivalent atoms, fractional coordinates:
1 Hf 0.000 0.000 0.000 (multiplicity 4)
2 Ni 0.051 0.250 0.625 (multiplicity 8)
3 O 0.000 0.000 0.500 (multiplicity 4)

Summary:
Energy in eV/atom: -4.65
Calculated volume in Å³ per cell: 248.2
Crystal system: tetragonal